Record 1
Nb3HgPb: optimized geometry, PBE.

Properties
calculated formation energy: 1.668 eV/atom
offset from the most stable computed form: 0 meV per atom
calculated density: 8.68 g/cm³
N(E_F): 11.3 states/eV/f.u.

Cell and atoms, written as POSCAR:
```
Nb3HgPb
1.0
-2.0527 -2.8323 -3.6873
-2.7941 -2.4703 3.4529
-3.7163 3.4216 -0.5594
Nb Pb Hg
3 1 1
direct
0.0000 0.0000 0.5000
0.5000 0.0000 0.0000
0.0000 0.5000 0.0000
0.5000 0.5000 0.5000
0.0000 0.0000 0.0000
```

Record 2
NbHgRhPb2: optimized geometry, PBE.

Properties
calculated formation energy: 1.170 eV/atom
calculated density: 8.62 g/cm³
N(E_F): 7.0 states/eV/f.u.

Cell and atoms, written as POSCAR:
```
NbHgRhPb2
1.0
5.4174 0.0000 0.0000
0.0000 5.3244 0.0000
0.0000 0.0000 5.4174
Rh Nb Hg Pb
1 1 1 2
direct
0.5000 0.5000 0.5000
0.0000 0.0000 0.0000
0.0000 0.5000 0.0000
0.0000 0.0000 0.5000
0.5000 0.0000 0.0000
```

Record 3
NbSnHgPb2: optimized geometry, PBE.

Properties
calculated formation energy: 1.012 eV/atom
calculated density: 7.56 g/cm³
N(E_F): 4.8 states/eV/f.u.

Cell and atoms, written as POSCAR:
```
NbSnHgPb2
1.0
5.8023 0.0000 0.0000
0.0000 5.3902 0.0000
0.0000 0.0000 5.8023
Pb Sn Nb Hg
2 1 1 1
direct
0.5000 0.0000 0.0000
0.0000 0.0000 0.5000
0.0000 0.0000 0.0000
0.0000 0.5000 0.0000
0.5000 0.5000 0.5000
```